Entry from Alexandria: a relaxed CaZn4Ga12 crystal (PBE).

The total magnetization is 0.00 μB per cell. The electronic total energy is -0.187 Ry per atom.

Geometry as extended XYZ:
```
17
Lattice="-4.428 4.428 4.428 4.428 -4.428 4.428 4.428 4.428 -4.428" Properties=species:S:1:pos:R:3 pbc="T T T"
Ca 0.000 0.000 0.000
Zn 2.214 2.214 -2.214
Zn 2.214 -2.214 2.214
Zn -2.214 2.214 2.214
Zn 2.214 2.214 2.214
Ga 3.139 1.354 0.000
Ga 5.717 1.354 0.000
Ga 4.428 -1.289 3.074
Ga 3.074 4.428 -1.289
Ga 1.354 0.000 3.139
Ga 4.428 1.289 3.074
Ga 0.000 3.139 1.354
Ga 3.074 4.428 1.289
Ga 1.354 0.000 5.717
Ga 0.000 5.717 1.354
Ga -1.289 3.074 4.428
Ga 1.289 3.074 4.428
```

Entry from Alexandria: a relaxed CaZn11Ga crystal (PBE).

The total magnetization is 0.00 μB per cell. The electronic total energy is -0.117 Ry per atom.

Geometry as extended XYZ:
```
13
Lattice="2.682 -6.289 0.000 2.682 6.289 0.000 -2.658 0.000 6.292" Properties=species:S:1:pos:R:3 pbc="T T T"
Ca 0.000 0.000 0.000
Zn -1.329 0.000 3.146
Zn 1.341 3.144 0.000
Zn 0.079 4.042 4.070
Zn 0.002 1.391 4.922
Zn 2.627 4.042 2.222
Zn 0.002 -1.391 4.922
Zn 1.341 -3.144 0.000
Zn 2.704 1.391 1.369
Zn 0.079 -4.042 4.070
Zn 2.704 -1.391 1.369
Zn 2.627 -4.042 2.222
Ga 1.353 0.000 3.146
```

Entry from Alexandria: a relaxed CaZn8Ga2 crystal (PBE).

The total magnetization is 0.00 μB per cell. The electronic total energy is -0.110 Ry per atom.

Geometry as extended XYZ:
```
11
Lattice="5.123 0.000 0.000 0.000 5.123 0.000 0.000 0.000 9.363" Properties=species:S:1:pos:R:3 pbc="T T T"
Ca 0.000 0.000 0.000
Zn 1.289 1.289 2.583
Zn 1.289 1.289 6.780
Zn 1.289 3.834 2.583
Zn 1.289 3.834 6.780
Zn 3.834 1.289 2.583
Zn 3.834 1.289 6.780
Zn 3.834 3.834 2.583
Zn 3.834 3.834 6.780
Ga 0.000 2.562 4.681
Ga 2.562 0.000 4.681
```

Entry from Alexandria: a relaxed CaZn2Ga crystal (PBE).

The total magnetization is 0.00 μB per cell. The electronic total energy is -0.145 Ry per atom.

Geometry as extended XYZ:
```
8
Lattice="-2.400 2.400 8.557 2.400 -2.400 8.557 2.400 2.400 -8.557" Properties=species:S:1:pos:R:3 pbc="T T T"
Ca 0.000 0.000 0.000
Ca 0.000 2.400 4.279
Zn 1.200 -0.234 6.418
Zn 2.166 1.200 2.139
Zn 1.200 2.633 -2.139
Zn 0.234 1.200 10.697
Ga 2.400 0.000 4.279
Ga 0.000 0.000 8.557
```

Entry from Alexandria: a relaxed CaZnGa2 crystal (PBE).

The total magnetization is 0.00 μB per cell. The electronic total energy is -0.181 Ry per atom.

Geometry as extended XYZ:
```
8
Lattice="-2.354 2.354 8.804 2.354 -2.354 8.804 2.354 2.354 -8.804" Properties=species:S:1:pos:R:3 pbc="T T T"
Ca 0.000 0.000 0.000
Ca 0.000 2.354 4.402
Zn 2.354 0.000 4.402
Zn 0.000 0.000 8.804
Ga 1.177 -0.479 6.603
Ga 1.875 1.177 2.201
Ga 1.177 2.833 -2.201
Ga 0.479 1.177 11.005
```

Entry from Alexandria: a relaxed CaZn12Ga6 crystal (PBE).

The total magnetization is 0.00 μB per cell. The electronic total energy is -0.135 Ry per atom.

Geometry as extended XYZ:
```
19
Lattice="5.796 3.346 2.979 -5.796 3.346 2.979 0.000 -6.692 2.979" Properties=species:S:1:pos:R:3 pbc="T T T"
Ca 0.000 0.000 0.000
Zn -2.274 -3.938 4.468
Zn -4.547 0.000 4.468
Zn -1.376 -0.795 2.677
Zn 1.376 -0.795 2.677
Zn 0.000 1.589 2.677
Zn 2.274 -3.938 4.468
Zn -2.274 3.938 4.468
Zn 0.000 -1.589 6.258
Zn -1.376 0.795 6.258
Zn 1.376 0.795 6.258
Zn 4.547 0.000 4.468
Zn 2.274 3.938 4.468
Ga -2.499 -1.443 5.074
Ga 0.000 -2.886 3.861
Ga -2.499 1.443 3.861
Ga 2.499 -1.443 5.074
Ga 0.000 2.886 5.074
Ga 2.499 1.443 3.861
```

Entry from Alexandria: a relaxed CaZn2Ga crystal (PBE).

The total magnetization is 0.00 μB per cell. The electronic total energy is -0.163 Ry per atom.

Geometry as extended XYZ:
```
8
Lattice="6.842 0.000 0.000 0.000 2.194 5.212 0.000 -2.194 5.212" Properties=species:S:1:pos:R:3 pbc="T T T"
Ca 0.000 0.000 0.000
Ca 3.421 0.000 1.742
Zn 0.000 0.000 3.068
Zn 2.131 0.000 4.733
Zn 3.421 0.000 9.115
Zn 4.712 0.000 4.733
Ga 1.321 0.000 7.368
Ga 5.521 0.000 7.368
```

Entry from Alexandria: a relaxed Ca2Zn2Ga crystal (PBE).

The total magnetization is 0.00 μB per cell. The electronic total energy is -0.166 Ry per atom.

Geometry as extended XYZ:
```
10
Lattice="4.931 -2.938 0.000 4.931 2.938 0.000 -1.727 0.000 7.910" Properties=species:S:1:pos:R:3 pbc="T T T"
Ca 1.214 0.778 1.184
Ca 0.350 -0.778 5.139
Ca 7.785 0.778 2.771
Ca 6.922 -0.778 6.726
Zn 2.728 0.802 3.961
Zn 4.544 0.802 7.904
Zn 3.591 -0.802 0.006
Zn 5.407 -0.802 3.949
Ga 4.499 0.794 1.978
Ga 3.636 -0.794 5.933
```

Entry from Alexandria: a relaxed CaZn3Ga crystal (PBE).

The value obtained for the relative energy among the computed polymorphs is 0.0000 eV/atom. The total magnetization is 0.00 μB per cell.

Geometry as extended XYZ:
```
5
Lattice="2.974 -2.971 0.000 2.974 2.971 0.000 -2.951 0.000 5.460" Properties=species:S:1:pos:R:3 pbc="T T T"
Ca 0.000 0.000 0.000
Zn 1.500 1.491 2.735
Zn 0.015 0.000 4.212
Zn 1.500 -1.491 2.735
Ga 2.981 0.000 1.252
```

Entry from Alexandria: a relaxed CaZn2Ga6 crystal (PBE).

The value obtained for the relative energy among the computed polymorphs is 0.0671 eV/atom. The total magnetization is 0.00 μB per cell.

Geometry as extended XYZ:
```
9
Lattice="7.830 0.000 0.000 -3.915 6.781 0.000 0.000 0.000 3.298" Properties=species:S:1:pos:R:3 pbc="T T T"
Ca 0.000 0.000 0.000
Zn 0.000 4.521 0.000
Zn 3.915 2.260 0.000
Ga -1.336 2.313 1.649
Ga -2.580 4.468 1.649
Ga 2.671 0.000 1.649
Ga 1.336 2.313 1.649
Ga 5.159 0.000 1.649
Ga 2.580 4.468 1.649
```

Entry from Alexandria: a relaxed CaZn4Ga4 crystal (PBE).

The total magnetization is 0.00 μB per cell. The electronic total energy is -0.161 Ry per atom.

Geometry as extended XYZ:
```
18
Lattice="8.320 0.000 0.000 0.000 8.320 0.000 0.000 0.000 5.432" Properties=species:S:1:pos:R:3 pbc="T T T"
Ca 2.080 2.080 1.358
Ca 6.240 6.240 4.074
Zn 0.733 7.514 0.660
Zn 0.807 4.893 3.376
Zn 3.353 7.587 3.376
Zn 3.427 4.967 0.660
Zn 4.893 3.353 4.772
Zn 4.967 0.733 2.056
Zn 7.514 3.427 2.056
Zn 7.587 0.807 4.772
Ga 0.805 5.004 0.656
Ga 0.844 7.516 3.372
Ga 3.316 4.965 3.372
Ga 3.355 7.476 0.656
Ga 4.965 0.844 4.776
Ga 5.004 3.355 2.060
Ga 7.476 0.805 2.060
Ga 7.516 3.316 4.776
```

Entry from Alexandria: a relaxed Ca3Zn3Ga crystal (PBE).

The total magnetization is 0.00 μB per cell. The electronic total energy is -0.158 Ry per atom.

Geometry as extended XYZ:
```
14
Lattice="5.464 -2.213 0.000 5.464 2.213 0.000 -5.064 0.000 14.146" Properties=species:S:1:pos:R:3 pbc="T T T"
Ca -1.546 0.000 5.497
Ca -3.509 0.000 13.027
Ca 1.610 0.000 3.300
Ca 4.253 0.000 10.846
Ca 9.373 0.000 1.118
Ca 7.410 0.000 8.649
Zn 1.695 0.000 6.498
Zn -0.294 0.000 13.035
Zn 1.035 0.000 10.811
Zn 4.829 0.000 3.334
Zn 6.158 0.000 1.111
Zn 4.169 0.000 7.648
Ga -0.302 0.000 8.544
Ga 6.165 0.000 5.602
```

Entry from Alexandria: a relaxed Ca6ZnGa5 crystal (PBE).

The total magnetization is 0.00 μB per cell. The electronic total energy is -0.204 Ry per atom.

Geometry as extended XYZ:
```
12
Lattice="2.590 -7.783 0.000 2.590 7.783 0.000 0.000 0.000 7.383" Properties=species:S:1:pos:R:3 pbc="T T T"
Ca 0.000 0.000 1.836
Ca 0.000 0.000 5.547
Ca 2.590 2.596 1.837
Ca 2.590 2.596 5.546
Ca 2.590 -2.596 1.837
Ca 2.590 -2.596 5.546
Zn 2.590 0.000 3.691
Ga 2.590 5.186 0.000
Ga 2.590 5.190 3.691
Ga 2.590 0.000 0.000
Ga 2.590 -5.186 0.000
Ga 2.590 -5.190 3.691
```

Entry from Alexandria: a relaxed Ca3Zn2Ga7 crystal (PBE).

The total magnetization is 0.00 μB per cell. The electronic total energy is -0.191 Ry per atom.

Geometry as extended XYZ:
```
12
Lattice="2.299 -14.861 0.000 2.299 14.861 0.000 0.000 0.000 4.105" Properties=species:S:1:pos:R:3 pbc="T T T"
Ca 0.000 0.000 0.000
Ca 2.299 8.708 0.000
Ca 2.299 -8.708 0.000
Zn 2.299 2.402 2.052
Zn 2.299 -2.402 2.052
Ga 2.299 11.086 2.052
Ga 2.299 5.798 2.052
Ga 2.299 3.979 0.000
Ga 2.299 0.000 2.052
Ga 2.299 -3.979 0.000
Ga 2.299 -5.798 2.052
Ga 2.299 -11.086 2.052
```

Entry from Alexandria: a relaxed CaZn5Ga2 crystal (PBE).

The total magnetization is 0.00 μB per cell. The electronic total energy is -0.147 Ry per atom.

Geometry as extended XYZ:
```
8
Lattice="-2.026 3.626 4.932 2.026 -3.626 4.932 2.026 3.626 -4.932" Properties=species:S:1:pos:R:3 pbc="T T T"
Ca 0.000 0.000 0.000
Zn 2.026 2.289 -1.340
Zn 2.026 2.289 1.340
Zn 0.000 3.626 0.000
Zn 0.000 1.337 3.592
Zn 0.000 1.337 6.272
Ga 2.026 0.000 2.412
Ga 0.000 3.626 2.521
```

Entry from Alexandria: a relaxed CaZn3Ga2 crystal (PBE).

The total magnetization is 0.00 μB per cell. The electronic total energy is -0.162 Ry per atom.

Geometry as extended XYZ:
```
12
Lattice="-2.195 3.826 6.785 2.195 -3.826 6.785 2.195 3.826 -6.785" Properties=species:S:1:pos:R:3 pbc="T T T"
Ca 0.000 0.000 1.828
Ca 0.000 0.000 11.742
Zn 2.195 2.318 -2.317
Zn 0.000 2.583 0.000
Zn 2.195 2.318 2.317
Zn 0.000 1.508 4.468
Zn 0.000 5.069 0.000
Zn 0.000 1.508 9.102
Ga 2.195 1.265 0.000
Ga 2.195 0.000 4.242
Ga 0.000 3.826 2.542
Ga 0.000 2.561 6.785
```

Entry from Alexandria: a relaxed Ca4ZnGa2 crystal (PBE).

The value obtained for the relative energy among the computed polymorphs is 0.2352 eV/atom. The total magnetization is 0.00 μB per cell.

Geometry as extended XYZ:
```
7
Lattice="-2.831 2.831 7.265 2.831 -2.831 7.265 2.831 2.831 -7.265" Properties=species:S:1:pos:R:3 pbc="T T T"
Ca 2.831 0.000 0.000
Ca 0.000 0.000 2.948
Ca 0.000 2.831 0.000
Ca 0.000 0.000 11.582
Zn 0.000 0.000 0.000
Ga 0.000 0.000 5.913
Ga 0.000 0.000 8.617
```

Entry from Alexandria: a relaxed Ca2ZnGa crystal (PBE).

The total magnetization is 0.00 μB per cell. The electronic total energy is -0.142 Ry per atom.

Geometry as extended XYZ:
```
4
Lattice="1.839 1.062 10.603 -1.839 1.062 10.603 0.000 -2.123 10.603" Properties=species:S:1:pos:R:3 pbc="T T T"
Ca 0.000 0.000 3.068
Ca 0.000 0.000 28.741
Zn 0.000 0.000 15.904
Ga 0.000 0.000 0.000
```

Entry from Alexandria: a relaxed Ca8Zn2Ga crystal (PBE).

The value obtained for the relative energy among the computed polymorphs is 0.0000 eV/atom. The total magnetization is 0.00 μB per cell.

Geometry as extended XYZ:
```
11
Lattice="9.362 -2.653 0.000 9.362 2.653 0.000 -2.428 0.000 7.041" Properties=species:S:1:pos:R:3 pbc="T T T"
Ca -0.140 0.000 2.073
Ca 1.804 0.000 5.715
Ca 4.917 0.000 3.768
Ca 7.473 0.000 0.373
Ca 8.823 0.000 6.668
Ca 11.379 0.000 3.273
Ca 14.492 0.000 1.326
Ca 16.436 0.000 4.968
Zn 2.901 0.000 1.433
Zn 13.395 0.000 5.608
Ga 8.148 0.000 3.521
```

Entry from Alexandria: a relaxed CaZn6Ga12 crystal (PBE).

The total magnetization is 0.00 μB per cell. The electronic total energy is -0.178 Ry per atom.

Geometry as extended XYZ:
```
19
Lattice="6.032 3.482 2.900 -6.032 3.482 2.900 0.000 -6.965 2.900" Properties=species:S:1:pos:R:3 pbc="T T T"
Ca 0.000 0.000 0.000
Zn -2.753 -1.590 4.900
Zn 0.000 -3.179 3.800
Zn -2.753 1.590 3.800
Zn 2.753 -1.590 4.900
Zn 0.000 3.179 4.900
Zn 2.753 1.590 3.800
Ga -2.365 -4.096 4.350
Ga -4.730 0.000 4.350
Ga -1.436 -0.829 2.769
Ga 1.436 -0.829 2.769
Ga 0.000 1.658 2.769
Ga 2.365 -4.096 4.350
Ga -2.365 4.096 4.350
Ga 0.000 -1.658 5.931
Ga -1.436 0.829 5.931
Ga 1.436 0.829 5.931
Ga 4.730 0.000 4.350
Ga 2.365 4.096 4.350
```

no.,calculated volume (Å³/atom)
1,20.43
2,16.33
3,22.34
4,24.64
5,24.39
6,18.24
7,19.56
8,22.92
9,19.30
10,19.46
11,20.89
12,24.44
13,24.80
14,23.37
15,18.12
16,18.99
17,33.28
18,31.05
19,31.80
20,19.24